BeCoBTe: optimized geometry, PBE-GGA. Values from VASP.

Structure (Quantum ESPRESSO input):
```
&SYSTEM
  ibrav = 0, nat = 4, ntyp = 4
/
ATOMIC_SPECIES
Be 9.01 Be.upf
Co 58.93 Co.upf
B 10.81 B.upf
Te 127.60 Te.upf
ATOMIC_POSITIONS crystal
Be 0.0000 0.0000 0.0000
Co 0.3333 0.6667 0.8016
B 0.6667 0.3333 0.9073
Te 0.0000 0.0000 0.4889
CELL_PARAMETERS angstrom
3.4581 0.0000 0.0000
-1.7291 2.9948 0.0000
0.0000 0.0000 5.3127
```

Its space-group type is P3m1 (156). The formation energy from raw total energies comes out at 8.4 kJ per mole of atoms. The value obtained for the energy above the lowest structure with this stoichiometry is 0.029 eV per atom. The calculated density is 6.23 g cm⁻³. The calculation puts the energy at -20.30 eV for the cell shown.

***

NaAsPCl2: optimized geometry, PBE-GGA. Values from VASP.

Structure (Quantum ESPRESSO input):
```
&SYSTEM
  ibrav = 0, nat = 5, ntyp = 4
/
ATOMIC_SPECIES
Na 22.99 Na.upf
As 74.92 As.upf
P 30.97 P.upf
Cl 35.45 Cl.upf
ATOMIC_POSITIONS crystal
Na 0.0000 0.0000 0.0000
As 0.5000 0.5000 0.5000
P 0.5000 0.5000 0.0000
Cl 0.0000 0.5000 0.5000
Cl 0.5000 0.0000 0.5000
CELL_PARAMETERS angstrom
5.2904 0.0000 0.0000
0.0000 5.2904 0.0000
0.0000 0.0000 4.7855
```

Its space-group type is P4/mmm (123). The formation energy from raw total energies comes out at -23.2 kJ per mole of atoms. The value obtained for the energy above the lowest structure with this stoichiometry is 0.000 eV per atom. The calculated density is 2.48 g cm⁻³. The calculation puts the energy at -16.27 eV for the cell shown.

***

Y2AlAgO: optimized geometry, PBE-GGA. Values from VASP.

Structure (Quantum ESPRESSO input):
```
&SYSTEM
  ibrav = 0, nat = 5, ntyp = 4
/
ATOMIC_SPECIES
Y 88.91 Y.upf
Al 26.98 Al.upf
Ag 107.87 Ag.upf
O 16.00 O.upf
ATOMIC_POSITIONS crystal
Y 0.0000 0.5000 0.0000
Y 0.5000 0.0000 0.0000
Al 0.0000 0.0000 0.5000
Ag 0.5000 0.5000 0.5000
O 0.0000 0.0000 0.0000
CELL_PARAMETERS angstrom
4.9355 0.0000 0.0000
0.0000 4.9355 0.0000
0.0000 0.0000 3.9691
```

Its space-group type is P4/mmm (123). The formation energy from raw total energies comes out at -112.2 kJ per mole of atoms. The calculated density is 5.64 g cm⁻³. The calculation puts the energy at -30.30 eV for the cell shown.

***

ZnMoP2: optimized geometry, PBE-GGA. Values from VASP.

Structure (Quantum ESPRESSO input):
```
&SYSTEM
  ibrav = 0, nat = 12, ntyp = 3
/
ATOMIC_SPECIES
Zn 65.41 Zn.upf
Mo 95.94 Mo.upf
P 30.97 P.upf
ATOMIC_POSITIONS crystal
Zn 0.0000 0.0000 0.0000
Zn 0.3333 0.6667 0.6667
Zn 0.6667 0.3333 0.3333
Mo 0.0000 0.0000 0.5000
Mo 0.3333 0.6667 0.1667
Mo 0.6667 0.3333 0.8333
P 0.0000 0.0000 0.2460
P 0.0000 0.0000 0.7540
P 0.3333 0.6667 0.4207
P 0.3333 0.6667 0.9126
P 0.6667 0.3333 0.0874
P 0.6667 0.3333 0.5793
CELL_PARAMETERS angstrom
3.2366 0.0000 0.0000
-1.6183 2.8030 0.0000
0.0000 0.0000 20.5454
```

Its space-group type is R-3m (166). The calculated density is 5.97 g cm⁻³. As for the calculated formation energy: -0.686 eV per formula unit. The calculation puts the energy at -70.83 eV for the cell shown.

***

AcLaCuNi: optimized geometry, PBE-GGA. Values from VASP.

Structure (Quantum ESPRESSO input):
```
&SYSTEM
  ibrav = 0, nat = 8, ntyp = 4
/
ATOMIC_SPECIES
Ac 227.00 Ac.upf
La 138.91 La.upf
Cu 63.55 Cu.upf
Ni 58.69 Ni.upf
ATOMIC_POSITIONS crystal
Ac 0.0000 0.0000 0.0000
Ac 0.0000 0.5000 0.5000
La 0.5000 0.0000 0.7255
La 0.5000 0.5000 0.2255
Cu 0.5000 0.0000 0.4231
Cu 0.5000 0.5000 0.9231
Ni 0.0000 0.0000 0.2932
Ni 0.0000 0.5000 0.7932
CELL_PARAMETERS angstrom
4.5336 0.0000 0.0000
0.0000 4.0256 0.0000
0.0000 0.0000 11.1911
```

Its space-group type is Amm2 (38). The value obtained for the energy above the lowest structure with this stoichiometry is 0.000 eV per atom. The calculated density is 7.94 g cm⁻³. As for the calculated formation energy: -0.831 eV per formula unit. The calculation puts the energy at -39.49 eV for the cell shown.

***

Ho2CoRe3: optimized geometry, PBE-GGA. Values from VASP.

Structure (Quantum ESPRESSO input):
```
&SYSTEM
  ibrav = 0, nat = 6, ntyp = 3
/
ATOMIC_SPECIES
Ho 164.93 Ho.upf
Co 58.93 Co.upf
Re 186.21 Re.upf
ATOMIC_POSITIONS crystal
Ho 0.1255 0.1255 0.1255
Ho 0.8745 0.8745 0.8745
Co 0.5000 0.5000 0.5000
Re 0.0000 0.5000 0.5000
Re 0.5000 0.0000 0.5000
Re 0.5000 0.5000 0.0000
CELL_PARAMETERS angstrom
2.6254 1.5158 4.5074
-2.6254 1.5158 4.5074
0.0000 -3.0316 4.5074
```

Its space-group type is R-3m (166). The calculated density is 14.62 g cm⁻³. As for the calculated formation energy: -1.167 eV per formula unit. The calculation puts the energy at -54.77 eV for the cell shown.

***

UMo2N: optimized geometry, PBE-GGA. Values from VASP.

Structure (Quantum ESPRESSO input):
```
&SYSTEM
  ibrav = 0, nat = 12, ntyp = 3
/
ATOMIC_SPECIES
U 238.03 U.upf
Mo 95.94 Mo.upf
N 14.01 N.upf
ATOMIC_POSITIONS crystal
U 0.0000 0.0000 0.0000
U 0.3333 0.6667 0.6667
U 0.6667 0.3333 0.3333
Mo 0.0000 0.0000 0.1138
Mo 0.0000 0.0000 0.8862
Mo 0.3333 0.6667 0.5529
Mo 0.3333 0.6667 0.7805
Mo 0.6667 0.3333 0.2195
Mo 0.6667 0.3333 0.4471
N 0.0000 0.0000 0.5000
N 0.3333 0.6667 0.1667
N 0.6667 0.3333 0.8333
CELL_PARAMETERS angstrom
3.0194 0.0000 0.0000
-1.5097 2.6148 0.0000
0.0000 0.0000 23.4398
```

Its space-group type is R-3m (166). The formation energy from raw total energies comes out at 34.6 kJ per mole of atoms. The calculated density is 11.95 g cm⁻³. The calculation puts the energy at -119.52 eV for the cell shown.

***

PuU5S6: optimized geometry, PBE-GGA. Values from VASP.

Structure (Quantum ESPRESSO input):
```
&SYSTEM
  ibrav = 0, nat = 12, ntyp = 3
/
ATOMIC_SPECIES
Pu 244.00 Pu.upf
U 238.03 U.upf
S 32.06 S.upf
ATOMIC_POSITIONS crystal
Pu 0.0000 0.0000 0.0000
U 0.1672 0.8328 0.5000
U 0.3339 0.6661 0.0000
U 0.5000 0.5000 0.5000
U 0.6661 0.3339 0.0000
U 0.8328 0.1672 0.5000
S 0.0832 0.4172 0.2503
S 0.2499 0.2499 0.7489
S 0.4172 0.0832 0.2503
S 0.5828 0.9168 0.7497
S 0.7501 0.7501 0.2511
S 0.9168 0.5828 0.7497
CELL_PARAMETERS angstrom
3.3764 -5.8133 0.0000
3.3764 5.8133 0.0000
-2.2225 0.0000 6.2843
```

Its space-group type is C2/m (12). The formation energy from raw total energies comes out at -138.5 kJ per mole of atoms. The calculated density is 10.95 g cm⁻³. The calculation puts the energy at -112.76 eV for the cell shown.

***

AgAs2Os: optimized geometry, PBE-GGA. Values from VASP.

Structure (Quantum ESPRESSO input):
```
&SYSTEM
  ibrav = 0, nat = 16, ntyp = 3
/
ATOMIC_SPECIES
Ag 107.87 Ag.upf
As 74.92 As.upf
Os 190.23 Os.upf
ATOMIC_POSITIONS crystal
Ag 0.0000 0.0000 0.0000
Ag 0.0000 0.5000 0.2500
Ag 0.5000 0.0000 0.7500
Ag 0.5000 0.5000 0.5000
As 0.2091 0.2500 0.6250
As 0.2500 0.7091 0.8750
As 0.2500 0.7909 0.3750
As 0.2909 0.2500 0.1250
As 0.7091 0.7500 0.1250
As 0.7500 0.2091 0.3750
As 0.7500 0.2909 0.8750
As 0.7909 0.7500 0.6250
Os 0.0000 0.0000 0.5000
Os 0.0000 0.5000 0.7500
Os 0.5000 0.0000 0.2500
Os 0.5000 0.5000 0.0000
CELL_PARAMETERS angstrom
5.9015 0.0000 0.0000
0.0000 5.9015 0.0000
0.0000 0.0000 10.8900
```

Its space-group type is I-42d (122). The value obtained for the energy above the lowest structure with this stoichiometry is 0.161 eV per atom. The calculated density is 7.84 g cm⁻³. As for the calculated formation energy: 1.381 eV per formula unit. The calculation puts the energy at -88.00 eV for the cell shown.

***

GaNi2HRh: optimized geometry, PBE-GGA. Values from VASP.

Structure (Quantum ESPRESSO input):
```
&SYSTEM
  ibrav = 0, nat = 5, ntyp = 4
/
ATOMIC_SPECIES
Ga 69.72 Ga.upf
Ni 58.69 Ni.upf
H 1.01 H.upf
Rh 102.91 Rh.upf
ATOMIC_POSITIONS crystal
Ga 0.0000 0.0000 0.0000
Ni 0.0000 0.5000 0.5000
Ni 0.5000 0.0000 0.5000
H 0.5000 0.5000 0.5000
Rh 0.5000 0.5000 0.0000
CELL_PARAMETERS angstrom
3.6684 0.0000 0.0000
0.0000 3.6684 0.0000
0.0000 0.0000 3.8853
```

Its space-group type is P4/mmm (123). The value obtained for the energy above the lowest structure with this stoichiometry is 0.000 eV per atom. The calculated density is 9.24 g cm⁻³. The calculation puts the energy at -26.84 eV for the cell shown.

***

ScHg: optimized geometry, PBE-GGA. Values from VASP.

Structure (Quantum ESPRESSO input):
```
&SYSTEM
  ibrav = 0, nat = 16, ntyp = 2
/
ATOMIC_SPECIES
Sc 44.96 Sc.upf
Hg 200.59 Hg.upf
ATOMIC_POSITIONS crystal
Sc 0.1896 0.1896 0.1896
Sc 0.1896 0.8104 0.8104
Sc 0.3104 0.3104 0.6896
Sc 0.3104 0.6896 0.3104
Sc 0.6896 0.3104 0.3104
Sc 0.6896 0.6896 0.6896
Sc 0.8104 0.1896 0.8104
Sc 0.8104 0.8104 0.1896
Hg 0.1282 0.1282 0.8718
Hg 0.1282 0.8718 0.1282
Hg 0.3718 0.3718 0.3718
Hg 0.3718 0.6282 0.6282
Hg 0.6282 0.3718 0.6282
Hg 0.6282 0.6282 0.3718
Hg 0.8718 0.1282 0.1282
Hg 0.8718 0.8718 0.8718
CELL_PARAMETERS angstrom
8.6006 0.0000 0.0000
0.0000 8.6006 0.0000
0.0000 0.0000 8.6006
```

Its space-group type is I-43m (217). The calculated density is 5.13 g cm⁻³. As for the calculated formation energy: 0.977 eV per formula unit. The calculation puts the energy at -45.25 eV for the cell shown.

***

NdDy7Tl5: optimized geometry, PBE-GGA. Values from VASP.

Structure (Quantum ESPRESSO input):
```
&SYSTEM
  ibrav = 0, nat = 13, ntyp = 3
/
ATOMIC_SPECIES
Nd 144.24 Nd.upf
Dy 162.50 Dy.upf
Tl 204.38 Tl.upf
ATOMIC_POSITIONS crystal
Nd 0.0000 0.0000 0.0000
Dy 0.1704 0.4749 0.6955
Dy 0.2163 0.7163 0.5000
Dy 0.3320 0.9908 0.3412
Dy 0.3471 0.3471 0.0000
Dy 0.6497 0.9908 0.6588
Dy 0.6611 0.6611 0.0000
Dy 0.7794 0.4749 0.3045
Tl 0.4720 0.4821 0.4913
Tl 0.4720 0.9807 0.9899
Tl 0.7513 0.2513 0.5000
Tl 0.9908 0.4821 0.0101
Tl 0.9908 0.9807 0.5087
CELL_PARAMETERS angstrom
-3.2622 5.4078 5.4532
3.2622 -5.4078 5.4532
3.2622 5.4078 -5.4532
```

Its space-group type is Imm2 (44). The calculated density is 9.94 g cm⁻³. As for the calculated formation energy: -2.063 eV per formula unit. The calculation puts the energy at -50.88 eV for the cell shown.